## Hf3Tc (PBE)

Data for Hf3Tc after structural relaxation.

Values from the calculation:
V: 19.98 Å³/atom
energy relative to the elements: -0.2725 eV/atom
electronic total energy: -10.329 eV per atom
DOS at the Fermi energy: 5.6 states/eV/cell

Lattice parameters (Å, degrees): 3.338 4.849 9.874 90.00 90.00 90.00
Space group Immm (No. 71)
Inequivalent atoms, fractional coordinates:
1 Hf 0.000 0.000 0.000 [2 per cell]
2 Hf 0.000 0.500 0.216 [4 per cell]
3 Tc 0.000 0.000 0.500 [2 per cell]


## HfTcTe3 (PBE)

Data for HfTcTe3 after structural relaxation.

Values from the calculation:
V: 33.90 Å³/atom
electronic total energy: -5.244 eV per atom
DOS at the Fermi energy: 3.1 states/eV/cell
formation energy without anion corrections: 16.25 kcal/mol of atoms

Lattice parameters (Å, degrees): 5.534 5.534 5.534 90.00 90.00 90.00
Space group Pm-3m (No. 221)
Inequivalent atoms, fractional coordinates:
1 Hf 0.000 0.000 0.000 [1 per cell]
2 Tc 0.500 0.500 0.500 [1 per cell]
3 Te 0.000 0.000 0.500 [3 per cell]


## Hf2TcTe2 (PBE)

Data for Hf2TcTe2 after structural relaxation.

Values from the calculation:
V: 25.31 Å³/atom
electronic total energy: -6.733 eV per atom
DOS at the Fermi energy: 9.0 states/eV/cell
formation energy without anion corrections: 13.33 kcal/mol of atoms

Lattice parameters (Å, degrees): 4.033 4.033 15.555 90.00 90.00 90.00
Space group I4/mmm (No. 139)
Inequivalent atoms, fractional coordinates:
1 Hf 0.000 0.500 0.250 [4 per cell]
2 Tc 0.000 0.000 0.000 [2 per cell]
3 Te 0.000 0.000 0.392 [4 per cell]


## Hf2TcTe2 (PBE)

Data for Hf2TcTe2 after structural relaxation.

Values from the calculation:
V: 21.09 Å³/atom
electronic total energy: -7.296 eV per atom
DOS at the Fermi energy: 9.5 states/eV/cell
formation energy without anion corrections: 0.36 kcal/mol of atoms

Lattice parameters (Å, degrees): 7.451 7.451 3.800 90.00 90.00 90.00
Space group P4/mbm (No. 127)
Inequivalent atoms, fractional coordinates:
1 Hf 0.147 0.353 0.000 [4 per cell]
2 Tc 0.000 0.000 0.500 [2 per cell]
3 Te 0.156 0.656 0.500 [4 per cell]


## HfTcTe (PBE)

Data for HfTcTe after structural relaxation.

Values from the calculation:
V: 26.03 Å³/atom
electronic total energy: -8.107 eV per atom
DOS at the Fermi energy: 2.9 states/eV/cell
formation energy without anion corrections: -6.61 kcal/mol of atoms

Lattice parameters (Å, degrees): 4.0341 4.0341 33.2424 90.00 90.00 120.00
Space group R-3m (No. 166, hexagonal axes)
Inequivalent atoms, fractional coordinates:
1 Hf 0.0000 0.0000 0.0606 [6 per cell]
2 Tc 0.0000 0.0000 0.3392 [6 per cell]
3 Te 0.0000 0.0000 0.2203 [6 per cell]


## HfTc3Te (PBE)

Data for HfTc3Te after structural relaxation.

Values from the calculation:
V: 22.40 Å³/atom
electronic total energy: -7.088 eV per atom
DOS at the Fermi energy: 8.1 states/eV/cell
formation energy without anion corrections: 40.36 kcal/mol of atoms

Lattice parameters (Å, degrees): 4.820 4.820 4.820 90.00 90.00 90.00
Space group Pm-3m (No. 221)
Inequivalent atoms, fractional coordinates:
1 Hf 0.000 0.000 0.000 [1 per cell]
2 Tc 0.000 0.000 0.500 [3 per cell]
3 Te 0.500 0.500 0.500 [1 per cell]


## Hf3TcTe (PBE)

Data for Hf3TcTe after structural relaxation.

Values from the calculation:
V: 25.14 Å³/atom
electronic total energy: -8.393 eV per atom
DOS at the Fermi energy: 5.5 states/eV/cell
formation energy without anion corrections: 6.48 kcal/mol of atoms

Lattice parameters (Å, degrees): 5.009 5.009 5.009 90.00 90.00 90.00
Space group Pm-3m (No. 221)
Inequivalent atoms, fractional coordinates:
1 Hf 0.000 0.000 0.500 [3 per cell]
2 Tc 0.000 0.000 0.000 [1 per cell]
3 Te 0.500 0.500 0.500 [1 per cell]


## Hf4TcTe2 (PBE)

Data for Hf4TcTe2 after structural relaxation.

Values from the calculation:
V: 26.06 Å³/atom
electronic total energy: -7.905 eV per atom
DOS at the Fermi energy: 8.1 states/eV/cell
formation energy without anion corrections: 3.71 kcal/mol of atoms

Lattice parameters (Å, degrees): 4.975 4.975 14.739 90.00 90.00 90.00
Space group I4/mmm (No. 139)
Inequivalent atoms, fractional coordinates:
1 Hf 0.000 0.000 0.167 [4 per cell]
2 Hf 0.000 0.500 0.000 [4 per cell]
3 Tc 0.000 0.000 0.000 [2 per cell]
4 Te 0.000 0.000 0.364 [4 per cell]


## Hf3TcTe (PBE)

Data for Hf3TcTe after structural relaxation.

Values from the calculation:
V: 26.87 Å³/atom
electronic total energy: -7.348 eV per atom
DOS at the Fermi energy: 4.0 states/eV/cell
formation energy without anion corrections: 30.56 kcal/mol of atoms

Lattice parameters (Å, degrees): 5.121 5.121 5.121 90.00 90.00 90.00
Space group Pm-3m (No. 221)
Inequivalent atoms, fractional coordinates:
1 Hf 0.000 0.000 0.500 [3 per cell]
2 Tc 0.500 0.500 0.500 [1 per cell]
3 Te 0.000 0.000 0.000 [1 per cell]


## HfTc3Te (PBE)

Data for HfTc3Te after structural relaxation.

Values from the calculation:
V: 21.39 Å³/atom
electronic total energy: -7.531 eV per atom
DOS at the Fermi energy: 4.6 states/eV/cell
formation energy without anion corrections: 30.15 kcal/mol of atoms

Lattice parameters (Å, degrees): 4.747 4.747 4.747 90.00 90.00 90.00
Space group Pm-3m (No. 221)
Inequivalent atoms, fractional coordinates:
1 Hf 0.000 0.000 0.000 [1 per cell]
2 Tc 0.000 0.500 0.500 [3 per cell]
3 Te 0.500 0.500 0.500 [1 per cell]


## HfZnTc2Te (PBE)

Data for HfZnTc2Te after structural relaxation.

Values from the calculation:
V: 22.11 Å³/atom
electronic total energy: -5.689 eV per atom
DOS at the Fermi energy: 3.1 states/eV/cell
formation energy without anion corrections: 30.69 kcal/mol of atoms

Lattice parameters (Å, degrees): 4.827 4.827 4.744 90.00 90.00 90.00
Space group P4/mmm (No. 123)
Inequivalent atoms, fractional coordinates:
1 Hf 0.000 0.000 0.000 [1 per cell]
2 Zn 0.500 0.500 0.000 [1 per cell]
3 Tc 0.000 0.500 0.500 [2 per cell]
4 Te 0.500 0.500 0.500 [1 per cell]


## Hf2ThTc (PBE)

Data for Hf2ThTc after structural relaxation.

Values from the calculation:
V: 22.30 Å³/atom
energy relative to the elements: -0.2256 eV/atom
electronic total energy: -9.649 eV per atom
DOS at the Fermi energy: 2.5 states/eV/cell

Lattice parameters (Å, degrees): 3.315 3.315 8.117 90.00 90.00 90.00
Space group P4/mmm (No. 123)
Inequivalent atoms, fractional coordinates:
1 Hf 0.000 0.000 0.190 [2 per cell]
2 Th 0.500 0.500 0.500 [1 per cell]
3 Tc 0.500 0.500 0.000 [1 per cell]